## MoPPb (PBE)

Data for MoPPb after structural relaxation.

Summary:
The value obtained for the total energy is -6.384 eV/atom. Its offset from the most stable computed form is 217 meV per atom.

abc: 4.161 4.161 4.044
angles: 90.00 90.00 120.00
Positions (direct):
Mo (0.000, 0.000, 0.000)
P (0.667, 0.333, 0.000)
Pb (0.333, 0.667, 0.500)

---

## BaPmPr2 (PBE)

Data for BaPmPr2 after structural relaxation.

Summary:
The value obtained for the total energy is -3.877 eV/atom. Its offset from the most stable computed form is 83 meV per atom.

abc: 13.465 13.465 13.465
angles: 15.92 15.92 15.92
Positions (direct):
Ba (0.000, 0.000, 0.000)
Pm (0.500, 0.500, 0.500)
Pr (0.093, 0.093, 0.093)
Pr (0.907, 0.907, 0.907)

---

Among the records above, which one has the highest offset from the most stable computed form? MoPPb

---

Among the records above, which one has the highest offset from the most stable computed form? MoPPb